! PBE with a Hubbard U CoPF2, optimized geometry; values from VASP
! ΔE to the lowest computed polymorph: 481 meV per atom
! crystal system: tetragonal
&SYSTEM
  ibrav = 0, nat = 8, ntyp = 3
/
ATOMIC_SPECIES
F 19.00 F.upf
Co 58.93 Co.upf
P 30.97 P.upf
CELL_PARAMETERS angstrom
-3.688 -2.920 -3.626
3.671 -4.669 0.026
-1.943 -5.297 1.377
ATOMIC_POSITIONS angstrom
F -4.641 -6.583 -2.140
F -2.837 -4.132 -2.415
F -1.966 -6.180 -0.321
F -1.836 -7.128 -3.223
Co -2.820 -6.006 -2.025
Co 0.000 0.000 0.000
P 0.860 -6.880 -0.198
P -0.009 -3.794 -1.800

! PBE with a Hubbard U CoP3F, optimized geometry; values from VASP
! ΔE to the lowest computed polymorph: 696 meV per atom
! crystal system: cubic
&SYSTEM
  ibrav = 0, nat = 5, ntyp = 3
/
ATOMIC_SPECIES
P 30.97 P.upf
F 19.00 F.upf
Co 58.93 Co.upf
CELL_PARAMETERS angstrom
4.222 0.000 0.000
0.000 4.222 0.000
0.000 0.000 4.222
ATOMIC_POSITIONS angstrom
P 0.000 2.111 0.000
P 2.111 0.000 0.000
P 0.000 0.000 2.111
F 0.000 0.000 0.000
Co 2.111 2.111 2.111

! PBE with a Hubbard U CoP4F12, optimized geometry; values from VASP
! uncorrected energy: -0.3766 Ry per atom
! crystal system: monoclinic
&SYSTEM
  ibrav = 0, nat = 34, ntyp = 3
/
ATOMIC_SPECIES
P 30.97 P.upf
F 19.00 F.upf
Co 58.93 Co.upf
CELL_PARAMETERS angstrom
-6.858 1.249 -3.502
-6.261 -4.023 2.338
-8.926 6.748 7.003
ATOMIC_POSITIONS angstrom
P -14.165 3.478 7.142
P -9.988 2.631 0.841
P -11.974 4.790 4.836
P -7.432 0.713 2.114
P -12.057 1.343 4.998
P -14.614 3.261 3.726
P -10.071 -0.816 1.004
P -7.880 0.496 -1.302
F -11.643 -0.600 0.980
F -16.144 3.103 4.117
F -10.022 -2.072 0.041
F -7.295 -0.577 3.017
F -14.750 4.551 2.823
F -10.576 1.469 4.442
F -10.402 4.574 4.859
F -9.448 3.698 1.883
F -11.469 2.505 1.397
F -14.585 2.180 2.570
F -6.341 0.109 -1.290
F -5.902 0.871 1.722
F -9.975 -1.585 2.381
F -12.071 5.559 3.458
F -14.237 2.379 8.279
F -11.748 0.343 6.187
F -7.461 1.794 3.270
F -7.808 1.595 -2.440
F -17.332 6.044 4.806
F -12.598 0.276 3.956
F -12.023 6.046 5.798
F -4.714 -2.070 1.033
F -10.298 3.631 -0.347
F -15.705 3.865 7.129
Co -13.190 3.105 5.301
Co -8.856 0.869 0.538

! PBE with a Hubbard U CoP2F8, optimized geometry; values from VASP
! uncorrected energy: -0.3621 Ry per atom
! crystal system: monoclinic
&SYSTEM
  ibrav = 0, nat = 22, ntyp = 3
/
ATOMIC_SPECIES
F 19.00 F.upf
P 30.97 P.upf
Co 58.93 Co.upf
CELL_PARAMETERS angstrom
-3.943 2.756 -4.293
-2.491 -5.113 -5.836
-7.998 0.220 2.645
ATOMIC_POSITIONS angstrom
F -6.408 0.502 -2.490
F -5.081 -4.322 -5.984
F -8.775 -1.809 -7.172
F -1.976 -0.754 -2.525
F -5.126 -1.510 -4.137
F -9.352 2.185 -1.500
F -11.899 1.117 -3.335
F -8.024 -2.639 -4.994
F -8.297 0.685 1.314
F -2.534 -3.254 -4.149
F -6.497 -1.828 -1.953
F -9.307 -0.627 -3.347
F -6.135 -2.822 -8.798
F -7.936 -0.309 -5.531
F -5.658 -0.328 -0.311
F -12.456 -1.384 -4.959
P -1.237 -0.828 -1.120
P -9.020 -1.500 -5.479
P -5.413 -0.637 -2.004
P -13.196 -1.310 -6.364
Co -9.827 1.127 -2.965
Co -4.606 -3.264 -4.519